No. 1
A plane-wave DFT calculation with GGA-PBE was carried out for an optimized crystal structure of Ag3Hg2Cl8.

Results
Total moment: 0.20 μB per formula unit
E: -2.307 eV/atom

abc: 7.9889 7.9889 7.2547
angles: 112.98 112.98 58.45
Closest atoms and distances in Å follow each position.
Atoms (fractional coordinates):
Ag: 0.0000 0.0000 0.0000  4 Cl 2.59
Ag: 0.2511 0.7489 0.5000  4 Cl 2.63-2.65
Ag: 0.7489 0.2511 0.5000  4 Cl 2.63-2.65
Hg: 0.3318 0.3318 0.8770  4 Cl 2.52-2.67
Hg: 0.6682 0.6682 0.1230  4 Cl 2.52-2.67
Cl: 0.1084 0.6481 0.7448  1 Hg 2.52, 1 Ag 2.59
Cl: 0.1194 0.1194 0.7369  2 Ag 2.65, 1 Hg 2.67
Cl: 0.3519 0.8916 0.2552  1 Hg 2.52, 1 Ag 2.59
Cl: 0.3814 0.3814 0.2625  1 Hg 2.56, 2 Ag 2.63
Cl: 0.6186 0.6186 0.7375  1 Hg 2.56, 2 Ag 2.63
Cl: 0.6481 0.1084 0.7448  1 Hg 2.52, 1 Ag 2.59
Cl: 0.8806 0.8806 0.2631  2 Ag 2.65, 1 Hg 2.67
Cl: 0.8916 0.3519 0.2552  1 Hg 2.52, 1 Ag 2.59

---

No. 2
A plane-wave DFT calculation with GGA-PBE was carried out for an optimized crystal structure of NaMnAs2Se4.

Results
Total moment: 4.84 μB per formula unit
E: -4.500 eV/atom

abc: 6.8365 6.6946 6.6764
angles: 61.50 59.38 59.12
Closest atoms and distances in Å follow each position.
Atoms (fractional coordinates):
Na: 0.0000 0.0000 0.0000  4 Se 2.90-2.92
Mn: 0.4896 0.4896 0.5104  4 Se 2.52-2.54
As: 0.2432 0.2432 0.2568  4 Se 2.59-2.62
As: 0.7432 0.7432 0.7568  4 Se 2.59-2.62
Se: 0.1182 0.5739 0.8818  1 Mn 2.52, 2 As 2.62
Se: 0.3979 0.8504 0.1496  1 Mn 2.54, 2 As 2.59
Se: 0.5739 0.1182 0.4261  1 Mn 2.52, 2 As 2.62
Se: 0.8504 0.3979 0.6021  1 Mn 2.54, 2 As 2.59